Here is a relaxed Cs2VGeF6 crystal from Alexandria. Energies are from GGA+U.

Values from the calculation:
Final energy   -5.038 eV/atom
Space group   I4/mmm (139)

a b c (Å): 6.301 6.300 6.305
angles (deg): 60.00 60.00 89.97
Site moments in Bohr magnetons follow the coordinates.
Fractional coordinates of all 10 atoms:
Cs 0.750 0.250 0.500  0.00
Cs 0.250 0.750 0.500  0.00
V 0.000 0.000 0.000  2.75
Ge 0.500 0.500 0.000  0.00
F 0.242 0.243 0.515  0.00
F 0.757 0.757 0.000  0.00
F 0.243 0.757 0.000  0.00
F 0.757 0.243 0.000  0.00
F 0.243 0.243 0.000  0.00
F 0.758 0.757 0.485  0.00